Compound: Ba2Pa3CuO12
Source: the Alexandria database
Functional: GGA-PBE
Structure: relaxed

## Properties
Energy relative to the elements, uncorrected: -2.643 eV/atom
Space-group type: R-3m, No. 166
E: -7.972 eV/atom

Unit cell a=7.5078 b=7.5078 c=7.5078 alpha=63.71 beta=63.71 gamma=63.71
Fractional positions:
1 Ba 0.1636 0.1636 0.1636
2 Ba 0.8364 0.8364 0.8364
3 Pa 0.0000 0.5000 0.5000
4 Pa 0.5000 0.0000 0.5000
5 Pa 0.5000 0.5000 0.0000
6 Cu 0.5000 0.5000 0.5000
7 O 0.1616 0.1616 0.5362
8 O 0.1616 0.5362 0.1616
9 O 0.2099 0.5571 0.5571
10 O 0.4429 0.4429 0.7901
11 O 0.4429 0.7901 0.4429
12 O 0.4638 0.8384 0.8384
13 O 0.5362 0.1616 0.1616
14 O 0.5571 0.2099 0.5571
15 O 0.5571 0.5571 0.2099
16 O 0.7901 0.4429 0.4429
17 O 0.8384 0.4638 0.8384
18 O 0.8384 0.8384 0.4638